1:
Crystalline AcBeAs2 at its relaxed geometry. Source: Alexandria via LeMat-Bulk, functional GGA-PBE.

a = 4.109 Å, b = 4.109 Å, c = 10.371 Å
α = 90.00°, β = 90.00°, γ = 90.00°
Space group P4/nmm (No. 129, origin choice 2)
One atom of each set of equivalent atoms:
Ac  0.250  0.250  0.235 (multiplicity 2)
Be  0.250  0.750  0.500 (multiplicity 2)
As  0.250  0.250  0.616 (multiplicity 2)
As  0.250  0.750  0.000 (multiplicity 2)

Values from the calculation:
D(E_F)	2.56	states/eV per cell

2:
Crystalline AcBeAs2 at its relaxed geometry. Source: Alexandria via LeMat-Bulk, functional GGA-PBE.

a = 4.7994 Å, b = 4.7994 Å, c = 21.5758 Å
α = 90.00°, β = 90.00°, γ = 120.00°
Space group R-3m (No. 166, hexagonal axes)
One atom of each set of equivalent atoms:
Ac  0.0000  0.0000  0.0000 (multiplicity 3)
Be  0.0000  0.0000  0.5000 (multiplicity 3)
As  0.0000  0.0000  0.4037 (multiplicity 6)

Values from the calculation:
D(E_F)	17.04	states/eV per cell

Here are the energies relative to the best structure, in meV/atom: 1 0; 2 426.

1:
Crystalline Ac3BiAs at its relaxed geometry. Source: Alexandria via LeMat-Bulk, functional GGA-PBE.

a = 5.943 Å, b = 5.943 Å, c = 5.943 Å
α = 90.00°, β = 90.00°, γ = 90.00°
Space group Pm-3m (No. 221)
One atom of each set of equivalent atoms:
Ac  0.000  0.000  0.500 (multiplicity 3)
Bi  0.500  0.500  0.500 (multiplicity 1)
As  0.000  0.000  0.000 (multiplicity 1)

Values from the calculation:
D(E_F)	5.18	states/eV per cell

2:
Crystalline Ac3BiAs at its relaxed geometry. Source: Alexandria via LeMat-Bulk, functional GGA-PBE.

a = 9.530 Å, b = 4.592 Å, c = 17.216 Å
α = 90.00°, β = 90.00°, γ = 90.00°
Space group Pnma (No. 62)
One atom of each set of equivalent atoms:
Ac  0.018  0.250  0.106 (multiplicity 4)
Ac  0.157  0.250  0.539 (multiplicity 4)
Ac  0.166  0.750  0.290 (multiplicity 4)
Bi  0.116  0.750  0.696 (multiplicity 4)
As  0.192  0.250  0.950 (multiplicity 4)

Values from the calculation:
D(E_F)	19.93	states/eV per cell

Here are the energies relative to the best structure, in meV/atom: 1 373; 2 0.

1:
Crystalline SrAcAsBr at its relaxed geometry. Source: Alexandria via LeMat-Bulk, functional GGA-PBE.

a = 7.739 Å, b = 7.739 Å, c = 7.739 Å
α = 90.00°, β = 90.00°, γ = 90.00°
Space group F-43m (No. 216)
One atom of each set of equivalent atoms:
Sr  0.000  0.000  0.000 (multiplicity 4)
Ac  0.000  0.000  0.500 (multiplicity 4)
As  0.250  0.250  0.250 (multiplicity 4)
Br  0.250  0.250  0.750 (multiplicity 4)

Values from the calculation:
D(E_F)	8.02	states/eV per cell

2:
Crystalline SrAcAsBr at its relaxed geometry. Source: Alexandria via LeMat-Bulk, functional GGA-PBE.

a = 4.4546 Å, b = 4.4546 Å, c = 23.9068 Å
α = 90.00°, β = 90.00°, γ = 120.00°
Space group R3m (No. 160, hexagonal axes)
One atom of each set of equivalent atoms:
Sr  0.0000  0.0000  0.0000 (multiplicity 3)
Ac  0.0000  0.0000  0.1936 (multiplicity 3)
As  0.0000  0.0000  0.5975 (multiplicity 3)
Br  0.0000  0.0000  0.7663 (multiplicity 3)

Values from the calculation:
D(E_F)	7.96	states/eV per cell

Here are the energies relative to the best structure, in meV/atom: 1 168; 2 0.

1:
Crystalline Ac2CdAs at its relaxed geometry. Source: Alexandria via LeMat-Bulk, functional GGA-PBE.

a = 7.945 Å, b = 7.945 Å, c = 7.945 Å
α = 90.00°, β = 90.00°, γ = 90.00°
Space group Fm-3m (No. 225)
One atom of each set of equivalent atoms:
Ac  0.250  0.250  0.250 (multiplicity 8)
Cd  0.000  0.000  0.000 (multiplicity 4)
As  0.000  0.000  0.500 (multiplicity 4)

Values from the calculation:
D(E_F)	19.27	states/eV per cell

2:
Crystalline Ac2CdAs at its relaxed geometry. Source: Alexandria via LeMat-Bulk, functional GGA-PBE.

a = 4.4459 Å, b = 4.4459 Å, c = 25.2578 Å
α = 90.00°, β = 90.00°, γ = 120.00°
Space group R-3m (No. 166, hexagonal axes)
One atom of each set of equivalent atoms:
Ac  0.0000  0.0000  0.2391 (multiplicity 6)
Cd  0.0000  0.0000  0.0000 (multiplicity 3)
As  0.0000  0.0000  0.5000 (multiplicity 3)

Values from the calculation:
D(E_F)	15.63	states/eV per cell

3:
Crystalline Ac2CdAs at its relaxed geometry. Source: Alexandria via LeMat-Bulk, functional GGA-PBE.

a = 4.037 Å, b = 4.037 Å, c = 7.665 Å
α = 90.00°, β = 90.00°, γ = 90.00°
Space group P4/mmm (No. 123)
One atom of each set of equivalent atoms:
Ac  0.000  0.000  0.229 (multiplicity 2)
Cd  0.500  0.500  0.500 (multiplicity 1)
As  0.500  0.500  0.000 (multiplicity 1)

Values from the calculation:
D(E_F)	3.40	states/eV per cell

Here are the energies relative to the best structure, in meV/atom: 1 204; 2 0; 3 63.

1:
Crystalline AcCeAs at its relaxed geometry. Source: Alexandria via LeMat-Bulk, functional GGA-PBE.

a = 4.1956 Å, b = 4.1956 Å, c = 6.9761 Å
α = 90.00°, β = 90.00°, γ = 120.00°
Space group P3m1 (No. 156)
One atom of each set of equivalent atoms:
Ac  0.0000  0.0000  0.0000 (multiplicity 1)
Ce  0.6667  0.3333  0.5254 (multiplicity 1)
As  0.3333  0.6667  0.2907 (multiplicity 1)

Values from the calculation:
D(E_F)	6.35	states/eV per cell

2:
Crystalline AcCeAs at its relaxed geometry. Source: Alexandria via LeMat-Bulk, functional GGA-PBE.

a = 7.292 Å, b = 7.292 Å, c = 7.292 Å
α = 90.00°, β = 90.00°, γ = 90.00°
Space group F-43m (No. 216)
One atom of each set of equivalent atoms:
Ac  0.000  0.000  0.000 (multiplicity 4)
Ce  0.000  0.000  0.500 (multiplicity 4)
As  0.250  0.250  0.750 (multiplicity 4)

Values from the calculation:
D(E_F)	36.77	states/eV per cell

3:
Crystalline AcCeAs at its relaxed geometry. Source: Alexandria via LeMat-Bulk, functional GGA-PBE.

a = 9.121 Å, b = 6.225 Å, c = 6.699 Å
α = 90.00°, β = 101.57°, γ = 90.00°
Space group P2_1/c (No. 14)
One atom of each set of equivalent atoms:
Ac  0.024  0.241  0.371 (multiplicity 4)
Ce  0.362  0.516  0.713 (multiplicity 4)
As  0.307  0.013  0.696 (multiplicity 4)

Values from the calculation:
D(E_F)	32.61	states/eV per cell

Here are the energies relative to the best structure, in meV/atom: 1 0; 2 118; 3 101.

1:
Crystalline Ac3CeAs4 at its relaxed geometry. Source: Alexandria via LeMat-Bulk, functional GGA-PBE.

a = 6.343 Å, b = 6.343 Å, c = 6.343 Å
α = 90.00°, β = 90.00°, γ = 90.00°
Space group Pm-3m (No. 221)
One atom of each set of equivalent atoms:
Ac  0.000  0.000  0.500 (multiplicity 3)
Ce  0.500  0.500  0.500 (multiplicity 1)
As  0.000  0.000  0.000 (multiplicity 1)
As  0.000  0.500  0.500 (multiplicity 3)

Values from the calculation:
D(E_F)	7.58	states/eV per cell

2:
Crystalline Ac3CeAs4 at its relaxed geometry. Source: Alexandria via LeMat-Bulk, functional GGA-PBE.

a = 8.955 Å, b = 12.651 Å, c = 4.475 Å
α = 90.00°, β = 90.00°, γ = 90.00°
Space group Cmmm (No. 65)
One atom of each set of equivalent atoms:
Ac  0.000  0.000  0.000 (multiplicity 2)
Ac  0.250  0.250  0.500 (multiplicity 4)
Ce  0.000  0.500  0.000 (multiplicity 2)
As  0.000  0.257  0.000 (multiplicity 4)
As  0.237  0.500  0.500 (multiplicity 4)

Values from the calculation:
D(E_F)	12.16	states/eV per cell

Here are the energies relative to the best structure, in meV/atom: 1 19; 2 0.